Record 1
VASP calculation (PBEsol) on NbAlSn3 after structural relaxation.

Computed properties:
Mass density = 5.3 g/cm3
Electronic total energy = -5.019 eV/atom
Formation energy = 519 meV/atom
Calculated volume = 150 Å³ per cell

Cell lengths 5.3100, 5.3100, 5.3100 Å; angles 90.00, 90.00, 90.00 degrees
Space group Pm-3m (No. 221)
Symmetry-distinct sites (fractional):
1 Nb 0.0000 0.0000 0.0000 x1
2 Al 0.5000 0.5000 0.5000 x1
3 Sn 0.0000 0.0000 0.5000 x3

***

Record 2
VASP calculation (PBEsol) on Nb3AlV3Sn after structural relaxation.

Computed properties:
Mass density = 7.5 g/cm3
Electronic total energy = -8.832 eV/atom
Formation energy = -117 meV/atom
Calculated volume = 384 Å³ per cell

Cell lengths 7.2037, 7.2037, 8.5464 Å; angles 90.00, 90.00, 120.00 degrees
Space group R3 (No. 146, hexagonal axes)
Symmetry-distinct sites (fractional):
1 Nb 0.0094 0.2554 0.0000 x9
2 Al 0.0000 0.0000 0.2573 x3
3 V 0.0710 0.6721 0.1657 x9
4 Sn 0.0000 0.0000 0.7361 x3

***

Record 3
VASP calculation (PBEsol) on Nb2AlZnSn after structural relaxation.

Computed properties:
Mass density = 5.5 g/cm3
Electronic total energy = -4.879 eV/atom
Formation energy = 1436 meV/atom
Calculated volume = 119 Å³ per cell

Cell lengths 5.0883, 5.0883, 4.6124 Å; angles 90.00, 90.00, 90.00 degrees
Space group P4/mmm (No. 123)
Symmetry-distinct sites (fractional):
1 Nb 0.0000 0.5000 0.0000 x2
2 Al 0.0000 0.0000 0.5000 x1
3 Zn 0.5000 0.5000 0.5000 x1
4 Sn 0.5000 0.5000 0.0000 x1

***

Record 4
VASP calculation (PBEsol) on Sr2NbAl after structural relaxation.

Computed properties:
Mass density = 4.3 g/cm3
Electronic total energy = -3.747 eV/atom
Formation energy = 902 meV/atom
Calculated volume = 454 Å³ per cell

Cell lengths 8.6516, 8.6516, 6.0684 Å; angles 90.00, 90.00, 90.00 degrees
Space group I-42d (No. 122)
Symmetry-distinct sites (fractional):
1 Sr 0.2428 0.7500 0.1250 x8
2 Nb 0.0000 0.0000 0.5000 x4
3 Al 0.0000 0.0000 0.0000 x4

***

Record 5
VASP calculation (PBEsol) on TaNb2Al2 after structural relaxation.

Computed properties:
Mass density = 8.4 g/cm3
Electronic total energy = -8.747 eV/atom
Formation energy = -272 meV/atom
Calculated volume = 167 Å³ per cell

Cell lengths 6.9474, 6.9474, 3.4597 Å; angles 90.00, 90.00, 90.00 degrees
Space group P4/mbm (No. 127)
Symmetry-distinct sites (fractional):
1 Ta 0.0000 0.0000 0.0000 x2
2 Nb 0.1747 0.3253 0.5000 x4
3 Al 0.1259 0.6259 0.0000 x4

***

Record 6
VASP calculation (PBEsol) on Ti2NbAlTc after structural relaxation.

Computed properties:
Mass density = 5.6 g/cm3
Electronic total energy = -7.247 eV/atom
Formation energy = 1318 meV/atom
Calculated volume = 93 Å³ per cell

Cell lengths 4.4572, 4.4572, 4.7000 Å; angles 90.00, 90.00, 90.00 degrees
Space group P4/mmm (No. 123)
Symmetry-distinct sites (fractional):
1 Ti 0.0000 0.5000 0.0000 x2
2 Nb 0.0000 0.0000 0.5000 x1
3 Al 0.0000 0.0000 0.0000 x1
4 Tc 0.5000 0.5000 0.5000 x1

***

Record 7
VASP calculation (PBEsol) on Ti4Nb3Al9 after structural relaxation.

Computed properties:
Mass density = 4.6 g/cm3
Electronic total energy = -6.764 eV/atom
Formation energy = -353 meV/atom
Calculated volume = 255 Å³ per cell

Cell lengths 5.6030, 5.6030, 8.1314 Å; angles 90.00, 90.00, 90.00 degrees
Space group P4/mmm (No. 123)
Symmetry-distinct sites (fractional):
1 Ti 0.0000 0.0000 0.0000 x1
2 Ti 0.0000 0.5000 0.5000 x2
3 Ti 0.5000 0.5000 0.0000 x1
4 Nb 0.0000 0.0000 0.5000 x1
5 Nb 0.0000 0.5000 0.0000 x2
6 Al 0.2495 0.2495 0.2501 x8
7 Al 0.5000 0.5000 0.5000 x1

***

Record 8
VASP calculation (PBEsol) on NbAl2Tl2 after structural relaxation.

Computed properties:
Mass density = 8.5 g/cm3
Electronic total energy = -4.406 eV/atom
Formation energy = 447 meV/atom
Calculated volume = 218 Å³ per cell

Cell lengths 7.5127, 5.5186, 5.3838 Å; angles 90.00, 102.58, 90.00 degrees
Space group C2/m (No. 12)
Symmetry-distinct sites (fractional):
1 Nb 0.0000 0.0000 0.0000 x2
2 Al 0.1686 0.5000 0.1025 x4
3 Tl 0.0000 0.2489 0.5000 x4

***

Please write out number 8 again, unchanged.
VASP calculation (PBEsol) on NbAl2Tl2 after structural relaxation.

Computed properties:
Mass density = 8.5 g/cm3
Electronic total energy = -4.406 eV/atom
Formation energy = 447 meV/atom
Calculated volume = 218 Å³ per cell

Cell lengths 7.5127, 5.5186, 5.3838 Å; angles 90.00, 102.58, 90.00 degrees
Space group C2/m (No. 12)
Symmetry-distinct sites (fractional):
1 Nb 0.0000 0.0000 0.0000 x2
2 Al 0.1686 0.5000 0.1025 x4
3 Tl 0.0000 0.2489 0.5000 x4